# K2FeMoRu, relaxed, DFT GGA-PBE
data_K2FeMoRu
_cell_length_a 6.1195
_cell_length_b 6.1195
_cell_length_c 4.2747
_cell_angle_alpha 90.00
_cell_angle_beta 90.00
_cell_angle_gamma 90.00
_symmetry_space_group_name_H-M 'P 4/m m m'
_symmetry_Int_Tables_number 123
_symmetry_space_group_name_Hall '-P 4 2'
loop_
_atom_site_label
_atom_site_type_symbol
_atom_site_fract_x
_atom_site_fract_y
_atom_site_fract_z
_atom_site_occupancy
K1 K 0.0000 0.5000 0.0000 1
Fe1 Fe 0.0000 0.0000 0.0000 1
Mo1 Mo 0.0000 0.0000 0.5000 1
Ru1 Ru 0.5000 0.5000 0.5000 1
# Energy of formation from the pure elements   2.132 eV per atom
# Energy   -4.02 eV per atom
# Total magnetization   2.83 μB/f.u.